Record 1
Computed, not measured: a PBEsol-optimized structure of AgOs2Pb at the SCAN level of DFT.

Output
DFT formation energy (eV/f.u.): 4.9
Total DFT energy (no corrections) (eV/atom): -61.5001

Cell lengths 2.816, 4.285, 5.793 Å; angles 90.00, 90.00, 90.00 degrees
Positions (direct):
Os1 0.000 0.000 0.292
Os2 0.000 0.000 0.708
Pb1 0.500 0.500 0.000
Ag1 0.500 0.500 0.500

Record 2
Computed, not measured: a PBEsol-optimized structure of AgOs2Pb at the SCAN level of DFT.

Output
DFT formation energy (eV/f.u.): 4.1
Total DFT energy (no corrections) (eV/atom): -61.7145

Cell lengths 2.918, 4.816, 5.182 Å; angles 101.92, 90.00, 107.64 degrees
Positions (direct):
Os1 0.753 0.506 0.713
Os2 0.247 0.494 0.287
Pb1 0.500 0.000 0.000
Ag1 0.000 0.000 0.500

Record 3
Computed, not measured: a PBEsol-optimized structure of TcAgOs2Pb at the SCAN level of DFT.

Output
DFT formation energy (eV/f.u.): 14.0
Total DFT energy (no corrections) (eV/atom): -54.3878

Cell lengths 4.850, 4.901, 4.901 Å; angles 90.00, 90.00, 90.00 degrees
Site moments in Bohr magnetons follow the coordinates.
Positions (direct):
Pb1 0.000 0.000 0.000  0.02
Os1 0.000 0.500 0.000  -0.17
Os2 0.000 0.000 0.500  -0.17
Ag1 0.500 0.000 0.000  0.01
Tc1 0.500 0.500 0.500  3.95

Record 4
Computed, not measured: a PBEsol-optimized structure of AgOs3Pd at the SCAN level of DFT.

Output
DFT formation energy (eV/f.u.): 16.8
Total DFT energy (no corrections) (eV/atom): -52.5923

Cell lengths 4.642, 4.642, 4.642 Å; angles 90.00, 90.00, 90.00 degrees
Site moments in Bohr magnetons follow the coordinates.
Positions (direct):
Pd1 0.500 0.500 0.500  0.31
Ag1 0.000 0.000 0.000  0.12
Os1 0.000 0.000 0.500  0.95
Os2 0.500 0.000 0.000  0.95
Os3 0.000 0.500 0.000  0.95

Record 5
Computed, not measured: a PBEsol-optimized structure of Pm2AgOs at the SCAN level of DFT.

Output
DFT formation energy (eV/f.u.): -1.0
Total DFT energy (no corrections) (eV/atom): -48.0528

Cell lengths 4.991, 4.991, 4.991 Å; angles 60.00, 60.00, 60.00 degrees
Positions (direct):
Pm1 0.250 0.250 0.250
Pm2 0.750 0.750 0.750
Os1 0.000 0.000 0.000
Ag1 0.500 0.500 0.500

Record 6
Computed, not measured: a PBEsol-optimized structure of AgOsPt2 at the SCAN level of DFT.

Output
DFT formation energy (eV/f.u.): 0.9
Energy above the most stable polymorph in this dataset (kJ/mol of formula units): 0
Total DFT energy (no corrections) (eV/atom): -60.6906

Cell lengths 2.753, 2.753, 9.281 Å; angles 81.47, 81.47, 60.00 degrees
Positions (direct):
Os1 0.253 0.253 0.240
Ag1 0.501 0.501 0.497
Pt1 0.748 0.748 0.755
Pt2 0.997 0.997 0.008

Record 7
Computed, not measured: a PBEsol-optimized structure of AgOsPt2 at the SCAN level of DFT.

Output
DFT formation energy (eV/f.u.): 1.9
Energy above the most stable polymorph in this dataset (kJ/mol of formula units): 98
Total DFT energy (no corrections) (eV/atom): -60.4370

Cell lengths 3.918, 3.906, 3.906 Å; angles 90.00, 90.00, 90.00 degrees
Site moments in Bohr magnetons follow the coordinates.
Positions (direct):
Os1 0.500 0.000 0.000  0.97
Pt1 0.000 0.500 0.000  0.16
Pt2 0.000 0.000 0.500  0.16
Ag1 0.500 0.500 0.500  0.07

Record 8
Computed, not measured: a PBEsol-optimized structure of AgOsPt2 at the SCAN level of DFT.

Output
DFT formation energy (eV/f.u.): 2.1
Energy above the most stable polymorph in this dataset (kJ/mol of formula units): 118
Total DFT energy (no corrections) (eV/atom): -60.3862

Cell lengths 2.682, 4.761, 4.764 Å; angles 90.00, 90.00, 90.00 degrees
Positions (direct):
Ag1 0.500 0.000 0.500
Pt1 0.500 0.500 0.000
Pt2 0.000 0.000 0.000
Os1 0.000 0.500 0.500

Record 9
Computed, not measured: a PBEsol-optimized structure of AgOsRh2 at the SCAN level of DFT.

Output
DFT formation energy (eV/f.u.): 2.5
Energy above the most stable polymorph in this dataset (kJ/mol of formula units): 196
Total DFT energy (no corrections) (eV/atom): -42.0675

Cell lengths 2.690, 4.607, 4.674 Å; angles 90.00, 90.00, 90.00 degrees
Site moments in Bohr magnetons follow the coordinates.
Positions (direct):
Os1 0.000 0.500 0.500  0.69
Rh1 0.000 0.000 0.000  0.08
Rh2 0.500 0.000 0.500  0.25
Ag1 0.500 0.500 0.000  0.01

Record 10
Computed, not measured: a PBEsol-optimized structure of AgOsRh2 at the SCAN level of DFT.

Output
DFT formation energy (eV/f.u.): 0.5
Energy above the most stable polymorph in this dataset (kJ/mol of formula units): 0
Total DFT energy (no corrections) (eV/atom): -42.5751

Cell lengths 2.720, 2.720, 7.740 Å; angles 90.00, 90.00, 90.00 degrees
Positions (direct):
Os1 0.500 0.500 0.500
Rh1 0.000 0.000 0.268
Rh2 0.000 0.000 0.732
Ag1 0.500 0.500 0.000

Record 11
Computed, not measured: a PBEsol-optimized structure of Ag3OsRh at the SCAN level of DFT.

Output
DFT formation energy (eV/f.u.): 10.0
Energy above the most stable polymorph in this dataset (kJ/mol of formula units): 0
Total DFT energy (no corrections) (eV/atom): -37.9527

Cell lengths 4.858, 4.858, 4.858 Å; angles 90.00, 90.00, 90.00 degrees
Site moments in Bohr magnetons follow the coordinates.
Positions (direct):
Ag1 0.000 0.000 0.500  0.15
Ag2 0.500 0.000 0.000  0.15
Ag3 0.000 0.500 0.000  0.15
Rh1 0.500 0.500 0.500  1.73
Os1 0.000 0.000 0.000  1.75

Record 12
Computed, not measured: a PBEsol-optimized structure of AgOsRh2 at the SCAN level of DFT.

Output
DFT formation energy (eV/f.u.): 0.5
Energy above the most stable polymorph in this dataset (kJ/mol of formula units): 5
Total DFT energy (no corrections) (eV/atom): -42.5628

Cell lengths 2.714, 2.714, 9.087 Å; angles 81.41, 81.41, 60.00 degrees
Positions (direct):
Ag1 0.500 0.500 0.500
Rh1 0.746 0.746 0.763
Rh2 0.254 0.254 0.237
Os1 0.000 0.000 0.000

Record 13
Computed, not measured: a PBEsol-optimized structure of AgOs2Rh at the SCAN level of DFT.

Output
DFT formation energy (eV/f.u.): 2.4
Energy above the most stable polymorph in this dataset (kJ/mol of formula units): 27
Total DFT energy (no corrections) (eV/atom): -51.6357

Cell lengths 3.839, 3.839, 4.722 Å; angles 113.98, 113.98, 90.00 degrees
Positions (direct):
Ag1 0.250 0.750 0.500
Rh1 0.500 0.500 0.000
Os1 0.750 0.250 0.500
Os2 0.000 0.000 0.000

Record 14
Computed, not measured: a PBEsol-optimized structure of AgOsRh2 at the SCAN level of DFT.

Output
DFT formation energy (eV/f.u.): 1.7
Energy above the most stable polymorph in this dataset (kJ/mol of formula units): 115
Total DFT energy (no corrections) (eV/atom): -42.2779

Cell lengths 2.702, 4.543, 5.480 Å; angles 114.49, 104.27, 90.00 degrees
Positions (direct):
Os1 0.273 0.773 0.547
Rh1 0.729 0.229 0.459
Rh2 0.991 0.991 0.983
Ag1 0.506 0.506 0.012

Record 15
Computed, not measured: a PBEsol-optimized structure of AgOs2Rh at the SCAN level of DFT.

Output
DFT formation energy (eV/f.u.): 2.1
Energy above the most stable polymorph in this dataset (kJ/mol of formula units): 0
Total DFT energy (no corrections) (eV/atom): -51.7061

Cell lengths 2.690, 4.493, 5.599 Å; angles 113.65, 103.90, 90.00 degrees
Positions (direct):
Os1 0.222 0.222 0.444
Os2 0.778 0.778 0.556
Ag1 0.000 0.500 0.000
Rh1 0.500 0.000 0.000

Record 16
Computed, not measured: a PBEsol-optimized structure of AgOs2Ru at the SCAN level of DFT.

Output
DFT formation energy (eV/f.u.): 3.9
Energy above the most stable polymorph in this dataset (kJ/mol of formula units): 253
Total DFT energy (no corrections) (eV/atom): -51.5122

Cell lengths 2.742, 4.605, 4.605 Å; angles 90.00, 90.00, 90.00 degrees
Site moments in Bohr magnetons follow the coordinates.
Positions (direct):
Ag1 0.500 0.000 0.000  0.04
Ru1 0.500 0.500 0.500  0.92
Os1 0.000 0.000 0.500  0.59
Os2 0.000 0.500 0.000  0.59

Record 17
Computed, not measured: a PBEsol-optimized structure of AgOsRu2 at the SCAN level of DFT.

Output
DFT formation energy (eV/f.u.): 2.6
Energy above the most stable polymorph in this dataset (kJ/mol of formula units): 127
Total DFT energy (no corrections) (eV/atom): -42.5816

Cell lengths 3.774, 3.774, 4.779 Å; angles 113.26, 113.26, 90.00 degrees
Positions (direct):
Ru1 0.000 0.000 0.000
Ru2 0.250 0.750 0.500
Os1 0.750 0.250 0.500
Ag1 0.500 0.500 0.000

Record 18
Computed, not measured: a PBEsol-optimized structure of AgOs2Ru at the SCAN level of DFT.

Output
DFT formation energy (eV/f.u.): 2.4
Energy above the most stable polymorph in this dataset (kJ/mol of formula units): 107
Total DFT energy (no corrections) (eV/atom): -51.8899

Cell lengths 2.698, 3.891, 5.462 Å; angles 90.00, 90.00, 90.00 degrees
Positions (direct):
Os1 0.000 0.000 0.233
Os2 0.000 0.000 0.767
Ag1 0.500 0.500 0.500
Ru1 0.500 0.500 0.000

Record 19
Computed, not measured: a PBEsol-optimized structure of Ag2OsRu at the SCAN level of DFT.

Output
DFT formation energy (eV/f.u.): 1.7
Total DFT energy (no corrections) (eV/atom): -41.9373

Cell lengths 2.755, 3.799, 5.772 Å; angles 90.00, 90.00, 90.00 degrees
Positions (direct):
Os1 0.000 0.000 0.533
Ag1 0.000 0.000 0.003
Ag2 0.500 0.500 0.247
Ru1 0.500 0.500 0.717

Record 20
Computed, not measured: a PBEsol-optimized structure of AgOsRu2 at the SCAN level of DFT.

Output
DFT formation energy (eV/f.u.): 1.3
Energy above the most stable polymorph in this dataset (kJ/mol of formula units): 0
Total DFT energy (no corrections) (eV/atom): -42.9108

Cell lengths 2.696, 2.696, 9.176 Å; angles 81.55, 81.55, 60.00 degrees
Positions (direct):
Ru1 0.745 0.745 0.766
Ru2 0.000 0.000 0.999
Os1 0.256 0.256 0.233
Ag1 0.499 0.499 0.502